# Gd4B4O11F2 (PBE, relaxed)
# **Volume**: 890 Å³ per cell
# **Calculated density**: 6.6 g cm⁻³
# **Formation energy (no corrections)**: -3.12 eV/atom
# **Total moment**: 111.8 μB per cell
# **E_tot**: -9.8455 eV/atom
data_Gd4B4O11F2
_chemical_formula_sum 'Gd16 B16 O44 F8'
_space_group_name_H-M_alt 'C 1 2/c 1'
_space_group_IT_number 15
_cell_length_a 13.7162
_cell_length_b 4.6880
_cell_length_c 13.8446
_cell_angle_alpha 90.00
_cell_angle_beta 90.93
_cell_angle_gamma 90.00
loop_
_space_group_symop_operation_xyz
'x,y,z'
'-x,-y,-z'
'-x,y,-z+1/2'
'x,-y,z+1/2'
'x+1/2,y+1/2,z'
'-x+1/2,-y+1/2,-z'
'-x+1/2,y+1/2,-z+1/2'
'x+1/2,-y+1/2,z+1/2'
loop_
_atom_site_label
_atom_site_type_symbol
_atom_site_fract_x
_atom_site_fract_y
_atom_site_fract_z
Gd1 Gd 0.0600 0.0180 0.3708
Gd2 Gd 0.2198 0.0141 0.1313
B1 B 0.0929 0.4739 0.2139
B2 B 0.0958 0.4549 0.5250
O1 O 0.0000 0.3432 0.2500
O2 O 0.0794 0.1664 0.5354
O3 O 0.0883 0.3679 0.1061
O4 O 0.0997 0.2246 0.7257
O5 O 0.1152 0.4393 0.9349
O6 O 0.1738 0.3120 0.2569
F1 F 0.2300 0.0256 0.4217

# Cs3Cd2Cl6 (PBE, relaxed)
# **Volume**: 805 Å³ per cell
# **Calculated density**: 3.4 g cm⁻³
# **Formation energy (no corrections)**: -1.50 eV/atom
# **Total moment**: 0.0 μB per cell
# **E_tot**: -2.9017 eV/atom
data_Cs3Cd2Cl6
_chemical_formula_sum 'Cs6 Cd4 Cl12'
_space_group_name_H-M_alt 'I 4/m m m'
_space_group_IT_number 139
_space_group_name_Hall '-I 4 2'
_cell_length_a 5.3742
_cell_length_b 5.3742
_cell_length_c 27.8824
_cell_angle_alpha 90.00
_cell_angle_beta 90.00
_cell_angle_gamma 90.00
loop_
_atom_site_label
_atom_site_type_symbol
_atom_site_fract_x
_atom_site_fract_y
_atom_site_fract_z
Cs1 Cs 0.0000 0.0000 0.0000
Cs2 Cs 0.0000 0.0000 0.1785
Cd1 Cd 0.0000 0.0000 0.3983
Cl1 Cl 0.0000 0.0000 0.3040
Cl2 Cl 0.0000 0.5000 0.0857

# La2NdIr2 (PBE, relaxed)
# **Volume**: 547 Å³ per cell
# **Energy relative to the lowest polymorph listed for this composition**: 68.7 meV per atom
# **Calculated density**: 9.8 g cm⁻³
# **DFT formation energy**: -0.584 eV per atom
# **Total moment**: 0.0 μB per cell
# **E_tot**: -7.0530 eV/atom
data_La2NdIr2
_chemical_formula_sum 'La8 Nd4 Ir8'
_space_group_name_H-M_alt 'C m c 21'
_space_group_IT_number 36
_cell_length_a 4.8433
_cell_length_b 15.1565
_cell_length_c 7.4564
_cell_angle_alpha 90.00
_cell_angle_beta 90.00
_cell_angle_gamma 90.00
loop_
_space_group_symop_operation_xyz
'x,y,z'
'-x,-y,z+1/2'
'-x,y,z'
'x,-y,z+1/2'
'x+1/2,y+1/2,z'
'-x+1/2,-y+1/2,z+1/2'
'-x+1/2,y+1/2,z'
'x+1/2,-y+1/2,z+1/2'
loop_
_atom_site_label
_atom_site_type_symbol
_atom_site_fract_x
_atom_site_fract_y
_atom_site_fract_z
La1 La 0.0000 0.0750 0.0000
La2 La 0.0000 0.2463 0.6598
Nd1 Nd 0.0000 0.4245 0.9713
Ir1 Ir 0.0000 0.1601 0.3311
Ir2 Ir 0.0000 0.3538 0.3338

# Ac3Zn2Pd9Pb (PBE, relaxed)
# **Volume**: 356 Å³ per cell
# **Calculated density**: 9.2 g cm⁻³
# **DFT formation energy**: -0.536 eV per atom
# **Total moment**: 0.0 μB per cell
# **E_tot**: -4.8903 eV/atom
data_Ac3Zn2Pd9Pb
_chemical_formula_sum 'Ac3 Zn2 Pd9 Pb1'
_space_group_name_H-M_alt 'P -3 m 1'
_space_group_IT_number 164
_space_group_name_Hall '-P 3 2"'
_cell_length_a 5.8800
_cell_length_b 5.8800
_cell_length_c 11.8829
_cell_angle_alpha 90.00
_cell_angle_beta 90.00
_cell_angle_gamma 120.00
loop_
_atom_site_label
_atom_site_type_symbol
_atom_site_fract_x
_atom_site_fract_y
_atom_site_fract_z
Ac1 Ac 0.0000 0.0000 0.0000
Ac2 Ac 0.3333 0.6667 0.7451
Zn1 Zn 0.3333 0.6667 0.1598
Pd1 Pd 0.0000 0.5000 0.0000
Pd2 Pd 0.1671 0.3341 0.3180
Pb1 Pb 0.0000 0.0000 0.5000

# MgTl2CuBr5 (PBE, relaxed)
# **Volume**: 1118 Å³ per cell
# **Calculated density**: 5.3 g cm⁻³
# **Formation energy (no corrections)**: -0.92 eV/atom
# **Total moment**: 0.0 μB per cell
# **E_tot**: -3.0104 eV/atom
data_MgTl2CuBr5
_chemical_formula_sum 'Mg4 Tl8 Cu4 Br20'
_space_group_name_H-M_alt 'C m c 21'
_space_group_IT_number 36
_cell_length_a 4.1177
_cell_length_b 19.6562
_cell_length_c 13.8127
_cell_angle_alpha 90.00
_cell_angle_beta 90.00
_cell_angle_gamma 90.00
loop_
_space_group_symop_operation_xyz
'x,y,z'
'-x,-y,z+1/2'
'-x,y,z'
'x,-y,z+1/2'
'x+1/2,y+1/2,z'
'-x+1/2,-y+1/2,z+1/2'
'-x+1/2,y+1/2,z'
'x+1/2,-y+1/2,z+1/2'
loop_
_atom_site_label
_atom_site_type_symbol
_atom_site_fract_x
_atom_site_fract_y
_atom_site_fract_z
Mg1 Mg 0.0000 0.2074 0.0000
Tl1 Tl 0.0000 0.1192 0.6740
Tl2 Tl 0.0000 0.1257 0.2998
Cu1 Cu 0.0000 0.4374 0.4144
Br1 Br 0.0000 0.0698 0.0106
Br2 Br 0.0000 0.2898 0.6315
Br3 Br 0.0000 0.3016 0.3651
Br4 Br 0.0000 0.3423 0.9892
Br5 Br 0.0000 0.4977 0.2650

# PuTl2AgI6 (PBE, relaxed)
# **Volume**: 810 Å³ per cell
# **Calculated density**: 6.2 g cm⁻³
# **Formation energy (no corrections)**: -0.72 eV/atom
# **Total moment**: 10.0 μB per cell
# **E_tot**: -3.8376 eV/atom
data_PuTl2AgI6
_chemical_formula_sum 'Pu2 Tl4 Ag2 I12'
_space_group_name_H-M_alt 'P 1 21/c 1'
_space_group_IT_number 14
_cell_length_a 8.0328
_cell_length_b 8.6519
_cell_length_c 14.0423
_cell_angle_alpha 90.00
_cell_angle_beta 123.90
_cell_angle_gamma 90.00
loop_
_space_group_symop_operation_xyz
'x,y,z'
'-x,-y,-z'
'-x,y+1/2,-z+1/2'
'x,-y+1/2,z+1/2'
loop_
_atom_site_label
_atom_site_type_symbol
_atom_site_fract_x
_atom_site_fract_y
_atom_site_fract_z
Pu1 Pu 0.0000 0.0000 0.0000
Tl1 Tl 0.2956 0.0968 0.7579
Ag1 Ag 0.5000 0.0000 0.5000
I1 I 0.1378 0.0210 0.2544
I2 I 0.2370 0.6920 0.0556
I3 I 0.3678 0.1926 0.0521

# Na2NbAsAu (PBE, relaxed)
# **Volume**: 181 Å³ per cell
# **Calculated density**: 3.8 g cm⁻³
# **DFT formation energy**: 0.788 eV per atom
# **Total moment**: 3.0 μB per cell
# **E_tot**: -3.3389 eV/atom
data_Na2NbAsAu
_chemical_formula_sum 'Na2 Nb1 As1 Au1'
_space_group_name_H-M_alt 'P 4/m m m'
_space_group_IT_number 123
_space_group_name_Hall '-P 4 2'
_cell_length_a 6.0788
_cell_length_b 6.0788
_cell_length_c 4.8957
_cell_angle_alpha 90.00
_cell_angle_beta 90.00
_cell_angle_gamma 90.00
loop_
_atom_site_label
_atom_site_type_symbol
_atom_site_fract_x
_atom_site_fract_y
_atom_site_fract_z
Na1 Na 0.0000 0.5000 0.0000
Nb1 Nb 0.0000 0.0000 0.0000
As1 As 0.0000 0.0000 0.5000
Au1 Au 0.5000 0.5000 0.5000

# ScAs2BrCl (PBE, relaxed)
# **Volume**: 140 Å³ per cell
# **Energy relative to the lowest polymorph listed for this composition**: 0.0 meV per atom
# **Calculated density**: 3.7 g cm⁻³
# **Formation energy (no corrections)**: -0.08 eV/atom
# **Total moment**: 0.0 μB per cell
# **E_tot**: -3.9119 eV/atom
data_ScAs2BrCl
_chemical_formula_sum 'Sc1 As2 Br1 Cl1'
_space_group_name_H-M_alt 'P 4/m m m'
_space_group_IT_number 123
_space_group_name_Hall '-P 4 2'
_cell_length_a 5.2376
_cell_length_b 5.2376
_cell_length_c 5.1190
_cell_angle_alpha 90.00
_cell_angle_beta 90.00
_cell_angle_gamma 90.00
loop_
_atom_site_label
_atom_site_type_symbol
_atom_site_fract_x
_atom_site_fract_y
_atom_site_fract_z
Sc1 Sc 0.0000 0.0000 0.0000
As1 As 0.0000 0.5000 0.0000
Br1 Br 0.0000 0.0000 0.5000
Cl1 Cl 0.5000 0.5000 0.5000

# NpGaCuAu (PBE, relaxed)
# **Volume**: 307 Å³ per cell
# **Calculated density**: 12.3 g cm⁻³
# **DFT formation energy**: 0.005 eV per atom
# **Total moment**: 14.8 μB per cell
# **E_tot**: -5.8300 eV/atom
data_NpGaCuAu
_chemical_formula_sum 'Np4 Ga4 Cu4 Au4'
_space_group_name_H-M_alt 'F -4 3 m'
_space_group_IT_number 216
_space_group_name_Hall 'F -4 2 3'
_cell_length_a 6.7427
_cell_length_b 6.7427
_cell_length_c 6.7427
_cell_angle_alpha 90.00
_cell_angle_beta 90.00
_cell_angle_gamma 90.00
loop_
_atom_site_label
_atom_site_type_symbol
_atom_site_fract_x
_atom_site_fract_y
_atom_site_fract_z
Np1 Np 0.0000 0.0000 0.0000
Ga1 Ga 0.0000 0.0000 0.5000
Cu1 Cu 0.2500 0.2500 0.2500
Au1 Au 0.2500 0.2500 0.7500

# Na2SrZnSn2 (PBE, relaxed)
# **Volume**: 347 Å³ per cell
# **Calculated density**: 4.2 g cm⁻³
# **DFT formation energy**: -0.266 eV per atom
# **Total moment**: 0.0 μB per cell
# **E_tot**: -2.5323 eV/atom
data_Na2SrZnSn2
_chemical_formula_sum 'Na4 Sr2 Zn2 Sn4'
_space_group_name_H-M_alt 'P m c 21'
_space_group_IT_number 26
_cell_length_a 4.8677
_cell_length_b 8.9856
_cell_length_c 7.9302
_cell_angle_alpha 90.00
_cell_angle_beta 90.00
_cell_angle_gamma 90.00
loop_
_space_group_symop_operation_xyz
'x,y,z'
'-x,-y,z+1/2'
'-x,y,z'
'x,-y,z+1/2'
loop_
_atom_site_label
_atom_site_type_symbol
_atom_site_fract_x
_atom_site_fract_y
_atom_site_fract_z
Na1 Na 0.0000 0.0707 0.0000
Na2 Na 0.5000 0.1481 0.3085
Sr1 Sr 0.5000 0.4517 0.0035
Zn1 Zn 0.0000 0.3317 0.6623
Sn1 Sn 0.0000 0.3674 0.2978
Sn2 Sn 0.5000 0.1828 0.7027